## YBe4B4 (GGA-PBE)

Data for an optimized crystal structure of YBe4B4.

Output
raw total energy: -5.48 eV/atom

Cell: 4.876 4.876 6.813 Å, 90.00 90.00 90.00°
Space group P4_2/nmc (No. 137, origin choice 2)
Asymmetric unit:
Y1 0.250 0.750 0.250
Be1 0.021 0.750 0.621
B1 0.083 0.250 0.079